Entry 1:
The following is a DFT calculation (PBE) of a relaxed CsMnCo3 crystal.

Computed properties:
The theoretical density is 6.2 g/cm³. For the formation energy from the elements, the calculation gives 2976 meV per atom. The value obtained for the distance to the lowest polymorph of the same formula is 1.523 eV/atom.

Cell and atoms, written as CIF:
```
data_CsMnCo3
_chemical_formula_sum 'Cs1 Mn1 Co3'
_cell_length_a 4.6069
_cell_length_b 4.6069
_cell_length_c 4.6069
_cell_angle_alpha 90.00
_cell_angle_beta 90.00
_cell_angle_gamma 90.00
_space_group_name_H-M_alt 'P m -3 m'
_space_group_IT_number 221
_space_group_name_Hall '-P 4 2 3'
loop_
_atom_site_label
_atom_site_type_symbol
_atom_site_fract_x
_atom_site_fract_y
_atom_site_fract_z
Cs1 Cs 0.0000 0.0000 0.0000
Mn1 Mn 0.5000 0.5000 0.5000
Co1 Co 0.0000 0.0000 0.5000
```



Entry 2:
The following is a DFT calculation (PBE) of a relaxed Be2AlI crystal.

Computed properties:
The theoretical density is 3.2 g/cm³. The value obtained for the distance to the lowest polymorph of the same formula is 0.000 eV/atom. The uncorrected formation energy comes out at 69.3 kJ per mole of atoms.

Cell and atoms, written as CIF:
```
data_Be2AlI
_chemical_formula_sum 'Be8 Al4 I4'
_cell_length_a 5.9111
_cell_length_b 5.9111
_cell_length_c 10.2428
_cell_angle_alpha 90.00
_cell_angle_beta 90.00
_cell_angle_gamma 90.00
_space_group_name_H-M_alt 'I -4 2 d'
_space_group_IT_number 122
_space_group_name_Hall 'I -4 2bw'
loop_
_atom_site_label
_atom_site_type_symbol
_atom_site_fract_x
_atom_site_fract_y
_atom_site_fract_z
Be1 Be 0.2329 0.2500 0.1250
Al1 Al 0.0000 0.0000 0.0000
I1 I 0.0000 0.0000 0.5000
```



Entry 3:
The following is a DFT calculation (PBE) of a relaxed Tb3HoO6 crystal.

Computed properties:
The theoretical density is 8.0 g/cm³. The uncorrected formation energy comes out at -343.6 kJ per mole of atoms.

Cell and atoms, written as CIF:
```
data_Tb3HoO6
_chemical_formula_sum 'Tb18 Ho6 O36'
_cell_length_a 9.6861
_cell_length_b 9.6861
_cell_length_c 11.3681
_cell_angle_alpha 90.00
_cell_angle_beta 90.00
_cell_angle_gamma 120.00
_space_group_name_H-M_alt 'R -3'
_space_group_IT_number 148
_space_group_name_Hall '-R 3'
loop_
_atom_site_label
_atom_site_type_symbol
_atom_site_fract_x
_atom_site_fract_y
_atom_site_fract_z
Tb1 Tb 0.0390 0.2657 0.2095
Ho1 Ho 0.0000 0.0000 0.0000
Ho2 Ho 0.0000 0.0000 0.5000
O1 O 0.0266 0.2174 0.4033
O2 O 0.0280 0.1872 0.8714
```



Entry 4:
The following is a DFT calculation (PBE) of a relaxed SrHg2As crystal.

Computed properties:
The theoretical density is 8.9 g/cm³. For the formation energy from the elements, the calculation gives -436 meV per atom.

Cell and atoms, written as CIF:
```
data_SrHg2As
_chemical_formula_sum 'Sr2 Hg4 As2'
_cell_length_a 4.5528
_cell_length_b 4.5777
_cell_length_c 10.1067
_cell_angle_alpha 90.00
_cell_angle_beta 90.00
_cell_angle_gamma 90.00
_space_group_name_H-M_alt 'I m m m'
_space_group_IT_number 71
_space_group_name_Hall '-I 2 2'
loop_
_atom_site_label
_atom_site_type_symbol
_atom_site_fract_x
_atom_site_fract_y
_atom_site_fract_z
Sr1 Sr 0.0000 0.0000 0.0000
Hg1 Hg 0.0000 0.5000 0.2489
As1 As 0.0000 0.0000 0.5000
```



Entry 5:
The following is a DFT calculation (PBE) of a relaxed GaS3Cl crystal.

Computed properties:
The theoretical density is 3.1 g/cm³. The value obtained for the distance to the lowest polymorph of the same formula is 1.324 eV/atom. The uncorrected formation energy comes out at 88.3 kJ per mole of atoms.

Cell and atoms, written as CIF:
```
data_GaS3Cl
_chemical_formula_sum 'Ga1 S3 Cl1'
_cell_length_a 4.7500
_cell_length_b 4.7500
_cell_length_c 4.7500
_cell_angle_alpha 90.00
_cell_angle_beta 90.00
_cell_angle_gamma 90.00
_space_group_name_H-M_alt 'P m -3 m'
_space_group_IT_number 221
_space_group_name_Hall '-P 4 2 3'
loop_
_atom_site_label
_atom_site_type_symbol
_atom_site_fract_x
_atom_site_fract_y
_atom_site_fract_z
Ga1 Ga 0.0000 0.0000 0.0000
S1 S 0.0000 0.5000 0.5000
Cl1 Cl 0.5000 0.5000 0.5000
```



Entry 6:
The following is a DFT calculation (PBE) of a relaxed SmMgCdPb crystal.

Computed properties:
The theoretical density is 7.8 g/cm³. For the formation energy from the elements, the calculation gives -244 meV per atom. The value obtained for the distance to the lowest polymorph of the same formula is 0.119 eV/atom.

Cell and atoms, written as CIF:
```
data_SmMgCdPb
_chemical_formula_sum 'Sm4 Mg4 Cd4 Pb4'
_cell_length_a 7.4835
_cell_length_b 7.4835
_cell_length_c 7.4835
_cell_angle_alpha 90.00
_cell_angle_beta 90.00
_cell_angle_gamma 90.00
_space_group_name_H-M_alt 'F -4 3 m'
_space_group_IT_number 216
_space_group_name_Hall 'F -4 2 3'
loop_
_atom_site_label
_atom_site_type_symbol
_atom_site_fract_x
_atom_site_fract_y
_atom_site_fract_z
Sm1 Sm 0.0000 0.0000 0.0000
Mg1 Mg 0.0000 0.0000 0.5000
Cd1 Cd 0.2500 0.2500 0.7500
Pb1 Pb 0.2500 0.2500 0.2500
```